The following is a DFT calculation (GGA-PBE) of a relaxed structure of KGeSCl2.

## Properties
- Relative energy among the computed polymorphs: 5.68 eV/f.u.
- Total magnetization: 1.02 μB/cell
- Space-group type: No. 123
- Energy relative to the elements, uncorrected: 243 meV per atom

a b c (Å): 5.4569 5.4569 5.6316
angles (deg): 90.00 90.00 90.00
Site moments in Bohr magnetons follow the coordinates.
Fractional positions:
Cl  0.0000  0.5000  0.0000  0.06
Cl  0.5000  0.0000  0.0000  0.06
K  0.0000  0.0000  0.0000  0.03
S  0.0000  0.0000  0.5000  0.65
Ge  0.5000  0.5000  0.5000  -0.10

***

The following is a DFT calculation (GGA-PBE) of a relaxed structure of K2SiRh.

## Properties
- Total magnetization: 0.73 μB/cell
- Space-group type: No. 166
- Energy relative to the elements, uncorrected: 776 meV per atom

a b c (Å): 11.2687 11.2687 11.2687
angles (deg): 15.58 15.58 15.58
Site moments in Bohr magnetons follow the coordinates.
Fractional positions:
Si  0.7500  0.7500  0.7500  0.09
K  0.5042  0.5042  0.5042  0.01
K  0.9958  0.9958  0.9958  0.01
Rh  0.2500  0.2500  0.2500  0.36

***

The following is a DFT calculation (GGA-PBE) of a relaxed structure of Li2Nd3Zn5.

## Properties
- Total magnetization: 0.00 μB/cell
- Space-group type: No. 127
- Formation enthalpy at 0 K: -0.2340 eV/atom

a b c (Å): 3.9996 10.2318 10.2318
angles (deg): 90.00 90.00 90.00
Fractional positions:
Zn  0.5000  0.9417  0.2285
Zn  0.5000  0.0583  0.7715
Zn  0.5000  0.5583  0.7285
Zn  0.5000  0.2715  0.5583
Zn  0.5000  0.5000  0.0000
Zn  0.5000  0.4417  0.2715
Zn  0.5000  0.7715  0.9417
Zn  0.5000  0.7285  0.4417
Zn  0.5000  0.0000  0.5000
Zn  0.5000  0.2285  0.0583
Nd  0.0000  0.6810  0.1810
Nd  0.0000  0.8190  0.6810
Nd  0.0000  0.5000  0.5000
Nd  0.0000  0.3190  0.8190
Nd  0.0000  0.0000  0.0000
Nd  0.0000  0.1810  0.3190
Li  0.0000  0.8887  0.3887
Li  0.0000  0.1113  0.6113
Li  0.0000  0.6113  0.8887
Li  0.0000  0.3887  0.1113